(1)
ZnNi6Os | PBE-GGA | relaxed

Values from the calculation:
**ΔE to the lowest computed polymorph**: 8 meV/atom
**V**: 11.60 Å³ per atom
**DFT formation energy**: -0.006 eV/atom

Cell: 6.224 6.224 10.162 Å, 90.00 90.00 109.40°
Positions (direct):
1 Zn 0.000 0.000 0.248
2 Zn 0.000 0.000 0.752
3 Zn 0.249 0.751 0.000
4 Zn 0.751 0.249 0.000
5 Ni 0.000 0.000 0.000
6 Ni 0.000 0.000 0.500
7 Ni 0.127 0.378 0.375
8 Ni 0.127 0.378 0.625
9 Ni 0.128 0.376 0.126
10 Ni 0.128 0.376 0.874
11 Ni 0.252 0.748 0.253
12 Ni 0.252 0.748 0.747
13 Ni 0.376 0.128 0.126
14 Ni 0.376 0.128 0.874
15 Ni 0.378 0.127 0.375
16 Ni 0.378 0.127 0.625
17 Ni 0.500 0.500 0.000
18 Ni 0.500 0.500 0.500
19 Ni 0.622 0.873 0.375
20 Ni 0.622 0.873 0.625
21 Ni 0.624 0.872 0.126
22 Ni 0.624 0.872 0.874
23 Ni 0.748 0.252 0.253
24 Ni 0.748 0.252 0.747
25 Ni 0.872 0.624 0.126
26 Ni 0.872 0.624 0.874
27 Ni 0.873 0.622 0.375
28 Ni 0.873 0.622 0.625
29 Os 0.248 0.752 0.500
30 Os 0.500 0.500 0.244
31 Os 0.500 0.500 0.756
32 Os 0.752 0.248 0.500

***

(2)
CeNbSi2Os | PBE-GGA | relaxed

Values from the calculation:
**V**: 18.20 Å³ per atom
**ΔE_f (raw)**: -0.593 eV/atom

Cell: 6.214 6.214 6.214 Å, 141.83 141.83 55.08°
Positions (direct):
1 Ce 0.000 0.000 0.000
2 Nb 0.250 0.750 0.500
3 Si 0.390 0.390 0.000
4 Si 0.610 0.610 0.000
5 Os 0.750 0.250 0.500

***

(3)
Pm7PtBr12 | PBE-GGA | relaxed

Values from the calculation:
**V**: 35.09 Å³ per atom
**ΔE_f (raw)**: -1.663 eV/atom

Cell: 9.501 9.501 9.501 Å, 107.62 107.62 107.62°
Positions (direct):
1 Pm 0.000 0.000 0.000
2 Pm 0.179 0.387 0.468
3 Pm 0.387 0.468 0.179
4 Pm 0.468 0.179 0.387
5 Pm 0.532 0.821 0.613
6 Pm 0.613 0.532 0.821
7 Pm 0.821 0.613 0.532
8 Pt 0.500 0.500 0.500
9 Br 0.028 0.336 0.112
10 Br 0.112 0.028 0.336
11 Br 0.185 0.719 0.575
12 Br 0.281 0.425 0.815
13 Br 0.336 0.112 0.028
14 Br 0.425 0.815 0.281
15 Br 0.575 0.185 0.719
16 Br 0.664 0.888 0.972
17 Br 0.719 0.575 0.185
18 Br 0.815 0.281 0.425
19 Br 0.888 0.972 0.664
20 Br 0.972 0.664 0.888